Entry 1:
DyErTlOs: relaxed, PBE.

```
4
Lattice="5.043 0.000 0.000 2.522 4.367 0.000 2.522 1.456 4.118" Properties=species:S:1:pos:R:3 pbc="T T T"
Tl 0.000 0.000 0.000
Dy 2.522 1.456 1.029
Os 5.043 2.912 2.059
Er 7.565 4.367 3.088
```

## Properties
Crystal system: cubic
E, eV per atom: -5.85
Formation enthalpy at 0 K, eV per atom: -0.163
Magnetic moment, μB/cell: 0.0

Entry 2:
TlCuNi2N: relaxed, PBE.

```
5
Lattice="-1.626 -1.832 -3.094 0.138 -3.425 1.955 -3.636 0.705 1.493" Properties=species:S:1:pos:R:3 pbc="T T T"
Ni 0.069 -1.713 0.977
Ni -0.813 -0.916 -1.547
Tl -2.562 -2.276 0.177
Cu -1.818 0.353 0.747
N 0.000 0.000 0.000
```

## Properties
Formation energy (no corrections), eV/atom: 0.23
Crystal system: tetragonal
E, eV per atom: -5.04
Magnetic moment, μB/cell: 0.0

Entry 3:
Tb3Tl2Ni: relaxed, PBE.

```
12
Lattice="-4.806 -1.861 -0.656 2.773 -6.032 -3.240 1.466 0.182 9.343" Properties=species:S:1:pos:R:3 pbc="T T T"
Tb -1.711 -2.439 -1.138
Tb -0.323 -5.454 -2.757
Tb 0.114 -0.956 1.880
Tb -2.068 -3.740 5.187
Tb 1.501 -3.972 0.260
Tb -0.681 -6.756 3.568
Tl -1.537 -3.893 1.721
Tl -0.150 -6.909 0.101
Tl -0.417 -0.803 5.346
Tl 0.969 -3.819 3.726
Ni -2.726 -6.385 -3.085
Ni 0.693 -1.508 -0.810
```

## Properties
Crystal system: orthorhombic
E, eV per atom: -4.36
Formation enthalpy at 0 K, eV per atom: -0.294
Magnetic moment, μB/cell: 0.0

Entry 4:
CaBi4: relaxed, PBE.

```
10
Lattice="-2.787 -2.161 5.801 -1.970 -2.809 -5.892 11.224 0.692 5.635" Properties=species:S:1:pos:R:3 pbc="T T T"
Ca 7.058 -0.960 4.086
Ca 0.755 -1.762 2.655
Bi 4.055 -2.810 3.981
Bi 1.789 -2.723 -3.133
Bi 6.981 -2.737 7.578
Bi 4.232 -1.383 6.766
Bi -1.955 -2.147 4.962
Bi -0.790 -2.632 -0.318
Bi 6.633 -2.900 1.166
Bi 3.581 -1.340 -0.027
```

## Properties
Crystal system: triclinic
E, eV per atom: -3.76
Polymorph energy (0 for the lowest one), meV per atom: 0
Formation enthalpy at 0 K, eV per atom: -0.259
Magnetic moment, μB/cell: 0.0